# VP

Crystalline VP at its relaxed geometry (GGA-PBE, the Alexandria database).

a b c (Å): 7.292 7.292 7.292
angles (deg): 90.00 90.00 90.00
Positions (direct):
V (0.131, 0.131, 0.869)
V (0.131, 0.869, 0.131)
V (0.369, 0.369, 0.369)
V (0.369, 0.631, 0.631)
V (0.631, 0.369, 0.631)
V (0.631, 0.631, 0.369)
V (0.869, 0.131, 0.131)
V (0.869, 0.869, 0.869)
P (0.181, 0.181, 0.181)
P (0.181, 0.819, 0.819)
P (0.319, 0.319, 0.681)
P (0.319, 0.681, 0.319)
P (0.681, 0.319, 0.319)
P (0.681, 0.681, 0.681)
P (0.819, 0.181, 0.819)
P (0.819, 0.819, 0.181)

Values from the calculation:
Total DFT energy (no corrections) (eV per formula unit): -14.7
SG: I-43m